# LiCdSi2

LiCdSi2 after structural relaxation (PBEsol, Alexandria).

Cell lengths 4.560, 4.560, 4.560 Å; angles 60.00, 60.00, 60.00 degrees
Atoms (fractional coordinates):
Si: 0.000 0.000 0.000
Si: 0.750 0.750 0.750
Cd: 0.500 0.500 0.500
Li: 0.250 0.250 0.250

Computed properties:
- formation energy without anion corrections (eV/f.u.) = 0.9
- theoretical density (g/cm³) = 4.3